[1]
The following is a meta-GGA SCAN calculation of a PBEsol-optimized structure of CaLaCrRe2, from Alexandria.

Values from the calculation:
SG ... P4/mmm, No. 123
Density of states at the Fermi level ... 1.1615 states/eV per atom
E_tot ... -202.9 eV/f.u.

Lattice parameters (Å, degrees): 4.751 4.793 4.793 90.00 90.00 90.00
Sites, in units of the cell vectors:
Cr 0.500 0.000 0.000
Re 0.000 0.500 0.000
Re 0.000 0.000 0.500
La 0.500 0.500 0.500
Ca 0.000 0.000 0.000

---

[2]
The following is a meta-GGA SCAN calculation of a PBEsol-optimized structure of Nb6SnS8, from Alexandria.

Values from the calculation:
SG ... P-3, No. 147
Density of states at the Fermi level ... 0.1533 states/eV per atom
ΔE_f (raw) ... -1.099 eV/atom
E_tot ... -328.2 eV/f.u.

Lattice parameters (Å, degrees): 3.365 9.499 9.499 120.00 90.00 90.00
Sites, in units of the cell vectors:
S 0.752 0.945 0.661
S 0.752 0.339 0.283
S 0.248 0.055 0.339
S 0.248 0.283 0.945
S 0.248 0.661 0.717
S 0.249 0.667 0.333
S 0.752 0.717 0.055
S 0.751 0.333 0.667
Nb 0.251 0.373 0.487
Nb 0.251 0.114 0.627
Nb 0.749 0.627 0.513
Nb 0.749 0.886 0.373
Nb 0.251 0.513 0.886
Nb 0.749 0.487 0.114
Sn 0.500 0.000 0.000

---

[3]
The following is a meta-GGA SCAN calculation of a PBEsol-optimized structure of PWS2Cl, from Alexandria.

Values from the calculation:
SG ... P4/mmm, No. 123
Density of states at the Fermi level ... 0.4515 states/eV per atom
ΔE_f (raw) ... 1.912 eV/atom
E_tot ... -97.8 eV/f.u.

Lattice parameters (Å, degrees): 4.467 4.314 4.314 90.00 90.00 90.00
Sites, in units of the cell vectors:
S 0.000 0.000 0.500
S 0.000 0.500 0.000
P 0.500 0.000 0.000
W 0.500 0.500 0.500
Cl 0.000 0.000 0.000

---

[4]
The following is a meta-GGA SCAN calculation of a PBEsol-optimized structure of BNClF2, from Alexandria.

Values from the calculation:
SG ... P4/mmm, No. 123
Density of states at the Fermi level ... 0.1903 states/eV per atom
ΔE_f (raw) ... -0.026 eV/atom
E_tot ... -31.9 eV/f.u.

Lattice parameters (Å, degrees): 3.170 3.170 4.250 90.00 90.00 90.00
Sites, in units of the cell vectors:
F 0.500 0.000 0.000
F 0.000 0.500 0.000
N 0.000 0.000 0.500
Cl 0.500 0.500 0.500
B 0.000 0.000 0.000

---

[5]
The following is a meta-GGA SCAN calculation of a PBEsol-optimized structure of LaMnGa3, from Alexandria.

Values from the calculation:
SG ... Pm-3m, No. 221
Density of states at the Fermi level ... 0.3807 states/eV per atom
E_tot ... -112.9 eV/f.u.

Lattice parameters (Å, degrees): 4.573 4.573 4.573 90.00 90.00 90.00
Sites, in units of the cell vectors:
Ga 0.000 0.500 0.000
Ga 0.500 0.000 0.000
Ga 0.000 0.000 0.500
Mn 0.000 0.000 0.000
La 0.500 0.500 0.500

---

[6]
The following is a meta-GGA SCAN calculation of a PBEsol-optimized structure of SnF2, from Alexandria.

Values from the calculation:
SG ... P2_12_12_1, No. 19
Density of states at the Fermi level ... 0.0000 states/eV per atom
ΔE_f (raw) ... -2.301 eV/atom
E_tot ... -49.9 eV/f.u.

Lattice parameters (Å, degrees): 4.921 5.140 8.168 90.00 90.00 90.00
Sites, in units of the cell vectors:
F 0.984 0.872 0.453
F 0.901 0.265 0.697
F 0.099 0.765 0.803
F 0.599 0.735 0.197
F 0.484 0.628 0.547
F 0.016 0.372 0.047
F 0.401 0.235 0.303
F 0.516 0.128 0.953
Sn 0.726 0.515 0.877
Sn 0.774 0.485 0.377
Sn 0.226 0.985 0.123
Sn 0.274 0.015 0.623